A relaxed structure of Sc2Ti2Tl, computed with GGA-PBE.

abc: 7.560 7.560 3.811
angles: 90.00 90.00 90.00
Fractional positions:
Sc 0.353 0.853 0.000
Sc 0.853 0.647 0.000
Sc 0.647 0.147 0.000
Sc 0.147 0.353 0.000
Tl 0.000 0.000 0.000
Tl 0.500 0.500 0.000
Ti 0.138 0.638 0.500
Ti 0.638 0.862 0.500
Ti 0.862 0.362 0.500
Ti 0.362 0.138 0.500

Summary:
The density of states at the Fermi level comes out at 9.89 states/eV/cell. Its symmetry is P4/mbm, No. 127. For the raw total energy, the calculation gives -5.94 eV/atom. For the calculated volume, the calculation gives 218 Å³ per cell. Its energy above the most stable polymorph in this dataset is 0.769 eV per formula unit. The formation energy is 0.221 eV per atom.